VASP calculation (PBE) on a geometry-optimized TaOs2Au structure.

abc: 2.835 2.835 8.054
angles: 90.00 90.00 90.00
Fractional coordinates of all 4 atoms:
Ta 0.000 0.000 0.000
Os 0.500 0.500 0.241
Os 0.500 0.500 0.759
Au 0.000 0.000 0.500

## Properties
* ΔH_f (0 K): 0.317 eV per atom
* symmetry: No. 123
* polymorph energy (0 for the lowest one): 297 meV/atom
* DOS(E_F): 4.2 states/eV/f.u.
* total moment: 0.000 μB per cell
* energy: -36.3 eV per cell